1.
## TaHOs3 (PBE-GGA)

Data for a relaxed structure of TaHOs3.

Properties
- Offset from the most stable computed form: 0.81 kcal/mol of atoms
- N(E_F): 11.06 states/eV per cell
- Magnetization: 0.0 μB/cell

abc: 9.020 5.672 4.910
angles: 90.00 90.12 90.00
Space group Cm (No. 8)
Inequivalent atoms, fractional coordinates:
Ta (0.000, 0.000, 0.000) x2
Ta (0.241, 0.500, 0.342) x2
H (0.102, 0.000, 0.629) x2
H (0.377, 0.000, 0.670) x2
Os (0.248, 0.253, 0.845) x4
Os (0.250, 0.000, 0.318) x2
Os (0.496, 0.000, 0.007) x2
Os (0.496, 0.246, 0.486) x4


2.
## TaHOs3 (PBE-GGA)

Data for a relaxed structure of TaHOs3.

Properties
- Offset from the most stable computed form: 26.65 kcal/mol of atoms
- N(E_F): 5.49 states/eV per cell
- Magnetization: 0.0 μB/cell

abc: 3.856 3.856 6.052
angles: 90.00 90.00 90.00
Space group P4mm (No. 99)
Inequivalent atoms, fractional coordinates:
Ta (0.000, 0.000, 0.000) x1
H (0.500, 0.500, 0.709) x1
Os (0.000, 0.000, 0.420) x1
Os (0.000, 0.500, 0.696) x2


3.
## Ta2HOs (PBE-GGA)

Data for a relaxed structure of Ta2HOs.

Properties
- Offset from the most stable computed form: 9.24 kcal/mol of atoms
- N(E_F): 13.76 states/eV per cell
- Magnetization: 0.0 μB/cell

abc: 6.182 6.182 6.182
angles: 90.00 90.00 90.00
Space group Fm-3m (No. 225)
Inequivalent atoms, fractional coordinates:
Ta (0.250, 0.250, 0.250) x8
H (0.000, 0.000, 0.000) x4
Os (0.000, 0.000, 0.500) x4


4.
## TaHOs2 (PBE-GGA)

Data for a relaxed structure of TaHOs2.

Properties
- Offset from the most stable computed form: 7.92 kcal/mol of atoms
- N(E_F): 15.73 states/eV per cell
- Magnetization: 0.0 μB/cell

abc: 6.045 6.045 6.045
angles: 90.00 90.00 90.00
Space group Fm-3m (No. 225)
Inequivalent atoms, fractional coordinates:
Ta (0.000, 0.000, 0.000) x4
H (0.000, 0.000, 0.500) x4
Os (0.250, 0.250, 0.250) x8


5.
## TaHOs2 (PBE-GGA)

Data for a relaxed structure of TaHOs2.

Properties
- Offset from the most stable computed form: 0.00 kcal/mol of atoms
- N(E_F): 12.76 states/eV per cell
- Magnetization: 0.0 μB/cell

abc: 5.540 5.540 6.852
angles: 90.00 90.00 90.00
Space group I-42d (No. 122)
Inequivalent atoms, fractional coordinates:
Ta (0.000, 0.000, 0.000) x4
H (0.000, 0.000, 0.500) x4
Os (0.107, 0.250, 0.625) x8


6.
## Ta3HOs (PBE-GGA)

Data for a relaxed structure of Ta3HOs.

Properties
- Offset from the most stable computed form: 0.00 kcal/mol of atoms
- N(E_F): 3.31 states/eV per cell
- Magnetization: 0.0 μB/cell

abc: 4.147 4.147 4.147
angles: 90.00 90.00 90.00
Space group Pm-3m (No. 221)
Inequivalent atoms, fractional coordinates:
Ta (0.000, 0.000, 0.500) x3
H (0.000, 0.000, 0.000) x1
Os (0.500, 0.500, 0.500) x1


7.
## TaHOs3 (PBE-GGA)

Data for a relaxed structure of TaHOs3.

Properties
- Offset from the most stable computed form: 11.73 kcal/mol of atoms
- N(E_F): 51.20 states/eV per cell
- Magnetization: 0.0 μB/cell

abc: 10.414 10.414 10.414
angles: 90.00 90.00 90.00
Space group Fd-3m (No. 227, origin choice 2)
Inequivalent atoms, fractional coordinates:
Ta (0.000, 0.000, 0.000) x16
H (0.000, 0.000, 0.500) x16
Os (0.067, 0.375, 0.875) x48


8.
## TaHOs3 (PBE-GGA)

Data for a relaxed structure of TaHOs3.

Properties
- Offset from the most stable computed form: 0.42 kcal/mol of atoms
- N(E_F): 11.52 states/eV per cell
- Magnetization: 0.0 μB/cell

abc: 9.042 5.664 4.901
angles: 90.00 90.18 90.00
Space group Cm (No. 8)
Inequivalent atoms, fractional coordinates:
Ta (0.000, 0.000, 0.000) x2
Ta (0.232, 0.500, 0.683) x2
H (0.106, 0.000, 0.378) x2
H (0.339, 0.500, 0.318) x2
Os (0.244, 0.243, 0.169) x4
Os (0.251, 0.000, 0.686) x2
Os (0.491, 0.000, 0.011) x2
Os (0.493, 0.242, 0.518) x4


9.
## TaHOs3 (PBE-GGA)

Data for a relaxed structure of TaHOs3.

Properties
- Offset from the most stable computed form: 36.63 kcal/mol of atoms
- N(E_F): 19.40 states/eV per cell
- Magnetization: 0.0 μB/cell

abc: 5.0359 5.0359 13.3490
angles: 90.00 90.00 120.00
Space group R-3m (No. 166, hexagonal axes)
Inequivalent atoms, fractional coordinates:
Ta (0.0000, 0.0000, 0.0000) x3
H (0.0000, 0.0000, 0.5000) x3
Os (0.0000, 0.5000, 0.5000) x9


10.
## Ta2HOs (PBE-GGA)

Data for a relaxed structure of Ta2HOs.

Properties
- Offset from the most stable computed form: 0.00 kcal/mol of atoms
- N(E_F): 6.53 states/eV per cell
- Magnetization: 0.0 μB/cell

abc: 2.9043 2.9043 21.4819
angles: 90.00 90.00 120.00
Space group R-3m (No. 166, hexagonal axes)
Inequivalent atoms, fractional coordinates:
Ta (0.0000, 0.0000, 0.2291) x6
H (0.0000, 0.0000, 0.5000) x3
Os (0.0000, 0.0000, 0.0000) x3


11.
## TaHOs3 (PBE-GGA)

Data for a relaxed structure of TaHOs3.

Properties
- Offset from the most stable computed form: 0.00 kcal/mol of atoms
- N(E_F): 12.38 states/eV per cell
- Magnetization: 0.0 μB/cell

abc: 9.036 5.650 6.646
angles: 90.00 132.37 90.00
Space group C2/m (No. 12)
Inequivalent atoms, fractional coordinates:
Ta (0.056, 0.000, 0.335) x4
H (0.250, 0.000, 0.023) x4
Os (0.042, 0.500, 0.340) x4
Os (0.211, 0.254, 0.174) x8


12.
## TaHOs3 (PBE-GGA)

Data for a relaxed structure of TaHOs3.

Properties
- Offset from the most stable computed form: 0.73 kcal/mol of atoms
- N(E_F): 5.38 states/eV per cell
- Magnetization: 0.0 μB/cell

abc: 4.907 5.331 5.651
angles: 105.44 90.41 117.16
Space group P1 (No. 1)
Inequivalent atoms, fractional coordinates:
Ta (0.000, 0.000, 0.000) x1
Ta (0.435, 0.519, 0.412) x1
H (0.229, 0.754, 0.959) x1
H (0.725, 0.757, 0.208) x1
Os (0.017, 0.009, 0.517) x1
Os (0.429, 0.500, 0.893) x1
Os (0.510, 0.011, 0.277) x1
Os (0.518, 0.023, 0.766) x1
Os (0.920, 0.488, 0.637) x1
Os (0.931, 0.502, 0.144) x1


13.
## TaHOs3 (PBE-GGA)

Data for a relaxed structure of TaHOs3.

Properties
- Offset from the most stable computed form: 17.54 kcal/mol of atoms
- N(E_F): 18.96 states/eV per cell
- Magnetization: 0.0 μB/cell

abc: 5.009 5.009 11.400
angles: 90.00 90.00 90.00
Space group I-4m2 (No. 119)
Inequivalent atoms, fractional coordinates:
Ta (0.000, 0.000, 0.130) x4
H (0.000, 0.000, 0.500) x2
H (0.000, 0.500, 0.250) x2
Os (0.000, 0.237, 0.351) x8
Os (0.000, 0.500, 0.551) x4


14.
## Ta2HOs (PBE-GGA)

Data for a relaxed structure of Ta2HOs.

Properties
- Offset from the most stable computed form: 3.19 kcal/mol of atoms
- N(E_F): 6.55 states/eV per cell
- Magnetization: 0.0 μB/cell

abc: 6.021 6.021 6.200
angles: 90.00 90.00 90.00
Space group I-42d (No. 122)
Inequivalent atoms, fractional coordinates:
Ta (0.174, 0.250, 0.125) x8
H (0.000, 0.000, 0.000) x4
Os (0.000, 0.000, 0.500) x4


15.
## TaHOs3 (PBE-GGA)

Data for a relaxed structure of TaHOs3.

Properties
- Offset from the most stable computed form: 0.04 kcal/mol of atoms
- N(E_F): 5.34 states/eV per cell
- Magnetization: 0.0 μB/cell

abc: 4.912 5.314 5.640
angles: 104.75 90.56 117.23
Space group P-1 (No. 2)
Inequivalent atoms, fractional coordinates:
Ta (0.232, 0.278, 0.206) x2
H (0.252, 0.002, 0.869) x2
Os (0.205, 0.253, 0.690) x2
Os (0.281, 0.743, 0.065) x2
Os (0.295, 0.759, 0.559) x2


16.
## TaHOs3 (PBE-GGA)

Data for a relaxed structure of TaHOs3.

Properties
- Offset from the most stable computed form: 69.76 kcal/mol of atoms
- N(E_F): 6.01 states/eV per cell
- Magnetization: 3.8 μB/cell

abc: 4.805 4.805 4.805
angles: 90.00 90.00 90.00
Space group Pm-3m (No. 221)
Inequivalent atoms, fractional coordinates:
Ta (0.000, 0.000, 0.000) x1
H (0.500, 0.500, 0.500) x1
Os (0.000, 0.000, 0.500) x3


17.
## TaHOs (PBE-GGA)

Data for a relaxed structure of TaHOs.

Properties
- Offset from the most stable computed form: 2.33 kcal/mol of atoms
- N(E_F): 6.29 states/eV per cell
- Magnetization: 0.0 μB/cell

abc: 4.826 6.049 6.027
angles: 90.00 126.49 90.00
Space group P2_1/c (No. 14)
Inequivalent atoms, fractional coordinates:
Ta (0.017, 0.211, 0.292) x4
H (0.151, 0.577, 0.001) x4
Os (0.442, 0.505, 0.713) x4


18.
## TaHOs3 (PBE-GGA)

Data for a relaxed structure of TaHOs3.

Properties
- Offset from the most stable computed form: 11.83 kcal/mol of atoms
- N(E_F): 15.75 states/eV per cell
- Magnetization: 0.0 μB/cell

abc: 6.250 8.294 5.138
angles: 90.00 90.00 90.00
Space group Cmcm (No. 63)
Inequivalent atoms, fractional coordinates:
Ta (0.000, 0.072, 0.250) x4
H (0.000, 0.332, 0.250) x4
Os (0.000, 0.500, 0.000) x4
Os (0.199, 0.214, 0.750) x8


19.
## Ta3HOs (PBE-GGA)

Data for a relaxed structure of Ta3HOs.

Properties
- Offset from the most stable computed form: 41.40 kcal/mol of atoms
- N(E_F): 6.11 states/eV per cell
- Magnetization: 0.0 μB/cell

abc: 4.864 4.864 4.864
angles: 90.00 90.00 90.00
Space group Pm-3m (No. 221)
Inequivalent atoms, fractional coordinates:
Ta (0.000, 0.000, 0.500) x3
H (0.500, 0.500, 0.500) x1
Os (0.000, 0.000, 0.000) x1


20.
## TaHOs3 (PBE-GGA)

Data for a relaxed structure of TaHOs3.

Properties
- Offset from the most stable computed form: 9.74 kcal/mol of atoms
- N(E_F): 13.50 states/eV per cell
- Magnetization: 0.0 μB/cell

abc: 5.154 7.101 7.429
angles: 90.00 90.00 90.00
Space group Pnma (No. 62)
Inequivalent atoms, fractional coordinates:
Ta (0.000, 0.000, 0.000) x4
H (0.205, 0.250, 0.067) x4
Os (0.044, 0.079, 0.653) x8
Os (0.192, 0.250, 0.300) x4


21.
## TaHOs3 (PBE-GGA)

Data for a relaxed structure of TaHOs3.

Properties
- Offset from the most stable computed form: 5.96 kcal/mol of atoms
- N(E_F): 27.08 states/eV per cell
- Magnetization: 0.0 μB/cell

abc: 11.537 8.577 5.593
angles: 90.00 103.75 90.00
Space group C2/c (No. 15)
Inequivalent atoms, fractional coordinates:
Ta (0.000, 0.052, 0.250) x4
Ta (0.000, 0.294, 0.750) x4
H (0.078, 0.309, 0.125) x8
Os (0.140, 0.495, 0.574) x8
Os (0.182, 0.150, 0.089) x8
Os (0.191, 0.153, 0.599) x8


22.
## TaHOs3 (PBE-GGA)

Data for a relaxed structure of TaHOs3.

Properties
- Offset from the most stable computed form: 0.69 kcal/mol of atoms
- N(E_F): 3.58 states/eV per cell
- Magnetization: 0.0 μB/cell

abc: 3.970 3.970 3.970
angles: 90.00 90.00 90.00
Space group Pm-3m (No. 221)
Inequivalent atoms, fractional coordinates:
Ta (0.000, 0.000, 0.000) x1
H (0.500, 0.500, 0.500) x1
Os (0.000, 0.500, 0.500) x3


23.
## TaHOs3 (PBE-GGA)

Data for a relaxed structure of TaHOs3.

Properties
- Offset from the most stable computed form: 23.41 kcal/mol of atoms
- N(E_F): 20.84 states/eV per cell
- Magnetization: 0.0 μB/cell

abc: 6.472 12.421 4.715
angles: 90.00 90.00 90.00
Space group Cmcm (No. 63)
Inequivalent atoms, fractional coordinates:
Ta (0.000, 0.200, 0.250) x4
H (0.000, 0.365, 0.250) x4
Os (0.000, 0.000, 0.000) x4
Os (0.206, 0.163, 0.750) x8